The following is a DFT calculation (PBE-GGA) of a relaxed structure of Sm3AgPd.

## Properties
crystal system = orthorhombic
total energy = -4.704 eV per atom
calculated formation energy = -25.5 kJ/mol of atoms
N(E_F) = 22.4 states/eV/cell

Cell: 4.0216 14.8429 9.8900 Å, 90.00 90.00 90.00°
Last column: nearest neighbours and their distance in Å.
Space group Amm2 (No. 38)
Unique sites:
Sm (0.0000, 0.1181, 0.0000) (multiplicity 4)  2 Pd 2.87
Sm (0.0000, 0.1182, 0.3769) (multiplicity 4)  2 Pd 2.87
Sm (0.5000, 0.1585, 0.6886) (multiplicity 4)  2 Pd 2.82, 2 Ag 3.10
Ag (0.0000, 0.0000, 0.6878) (multiplicity 2)  4 Sm 3.10
Ag (0.5000, 0.0000, 0.1884) (multiplicity 2)  8 Sm 3.25-3.26
Pd (0.5000, 0.2500, 0.4386) (multiplicity 4)  6 Sm 2.82-2.87


The following is a DFT calculation (PBE-GGA) of a relaxed structure of La3ZnPd3.

## Properties
crystal system = orthorhombic
total energy = -5.255 eV per atom
calculated formation energy = -71.0 kJ/mol of atoms
N(E_F) = 22.8 states/eV/cell

Cell: 4.3799 10.7599 14.3116 Å, 90.00 90.00 90.00°
Last column: nearest neighbours and their distance in Å.
Space group Cmcm (No. 63)
Unique sites:
La (0.0000, 0.0228, 0.2500) (multiplicity 4)  7 Pd 3.01-3.23
La (0.0000, 0.2971, 0.1025) (multiplicity 8)  6 Pd 3.05-3.20
Zn (0.0000, 0.0000, 0.0000) (multiplicity 4)  4 Pd 2.68
Pd (0.0000, 0.2568, 0.7500) (multiplicity 4)  2 Pd 2.88, 7 La 3.01-3.23
Pd (0.0000, 0.4195, 0.5898) (multiplicity 8)  2 Zn 2.68, 1 Pd 2.88


The following is a DFT calculation (PBE-GGA) of a relaxed structure of NaSb2Pd2.

## Properties
crystal system = triclinic
total energy = -4.433 eV per atom
uncorrected formation energy = -2.22 eV per formula unit
N(E_F) = 4.3 states/eV/cell

Cell: 4.7692 5.9001 8.5034 Å, 85.04 74.05 67.40°
Last column: nearest neighbours and their distance in Å.
Space group P-1 (No. 2)
Unique sites:
Na (0.0286, 0.1440, 0.2987) (multiplicity 2)  4 Pd 3.12-3.42, 6 Sb 3.22-3.35
Sb (0.3299, 0.2811, 0.5613) (multiplicity 2)  4 Pd 2.71-2.80
Sb (0.3745, 0.7811, 0.9628) (multiplicity 2)  5 Pd 2.68-2.92
Pd (0.1661, 0.2810, 0.8924) (multiplicity 2)  4 Sb 2.68-2.80, 3 Pd 2.93-2.94
Pd (0.3156, 0.5705, 0.2883) (multiplicity 2)  5 Sb 2.76-2.92, 2 Pd 2.93


The following is a DFT calculation (PBE-GGA) of a relaxed structure of Mg2Be2ZnIr5.

## Properties
crystal system = tetragonal
total energy = -5.970 eV per atom
calculated formation energy = -33.5 kJ/mol of atoms
N(E_F) = 18.7 states/eV/cell

Cell: 9.4602 9.4602 3.0572 Å, 90.00 90.00 90.00°
Last column: nearest neighbours and their distance in Å.
Space group P4/mbm (No. 127)
Unique sites:
Mg (0.1759, 0.3241, 0.0000) (multiplicity 4)  3 Be 2.65-2.89, 10 Ir 2.81-2.96
Be (0.1259, 0.6259, 0.0000) (multiplicity 4)  6 Ir 2.25-2.27
Zn (0.0000, 0.0000, 0.0000) (multiplicity 2)  8 Ir 2.58
Ir (0.0000, 0.5000, 0.5000) (multiplicity 2)  4 Be 2.27
Ir (0.0669, 0.7907, 0.5000) (multiplicity 8)  2 Be 2.25


The following is a DFT calculation (PBE-GGA) of a relaxed structure of CaLa2S4.

## Properties
crystal system = tetragonal
total energy = -6.227 eV per atom
uncorrected formation energy = -15.22 eV per formula unit
N(E_F) = 0.0 states/eV/cell

Cell: 8.6787 8.6787 8.7410 Å, 90.00 90.00 90.00°
Last column: nearest neighbours and their distance in Å.
Space group I-42d (No. 122)
Unique sites:
Ca (0.0000, 0.0000, 0.0000) (multiplicity 4)  8 S 2.89-3.14
La (0.1308, 0.7500, 0.6250) (multiplicity 8)  8 S 2.90-3.17
S (0.0728, 0.6799, 0.9463) (multiplicity 16)  2 Ca 2.89-3.14, 4 La 2.90-3.17


The following is a DFT calculation (PBE-GGA) of a relaxed structure of Na2GaSb2.

## Properties
crystal system = tetragonal
total energy = -2.857 eV per atom
uncorrected formation energy = -0.37 eV per formula unit
N(E_F) = 3.7 states/eV/cell

Cell: 9.1359 9.1359 3.3083 Å, 90.00 90.00 90.00°
Last column: nearest neighbours and their distance in Å.
Space group P4/mbm (No. 127)
Unique sites:
Na (0.1802, 0.3198, 0.0000) (multiplicity 4)  6 Sb 3.12-3.22, 2 Na 3.31
Ga (0.0000, 0.0000, 0.5000) (multiplicity 2)  2 Ga 3.31, 4 Sb 3.67
Sb (0.1152, 0.6152, 0.5000) (multiplicity 4)  3 Sb 2.98-3.31, 6 Na 3.12-3.22


The following is a DFT calculation (PBE-GGA) of a relaxed structure of KSr2V.

## Properties
crystal system = tetragonal
total energy = -2.577 eV per atom
calculated formation energy = 78.9 kJ/mol of atoms
N(E_F) = 20.8 states/eV/cell

Cell: 9.8923 9.8923 7.8939 Å, 90.00 90.00 90.00°
Last column: nearest neighbours and their distance in Å.
Space group I-42d (No. 122)
Unique sites:
K (0.0000, 0.0000, 0.0000) (multiplicity 4)  2 V 3.95, 8 Sr 4.07-4.29
Sr (0.1895, 0.2500, 0.6250) (multiplicity 8)  2 V 3.26
V (0.0000, 0.0000, 0.5000) (multiplicity 4)  4 Sr 3.26


The following is a DFT calculation (PBE-GGA) of a relaxed structure of CoRhSe4.

## Properties
crystal system = monoclinic
total energy = -5.050 eV per atom
uncorrected formation energy = -1.90 eV per formula unit
N(E_F) = 4.8 states/eV/cell

Cell: 5.1460 3.5762 6.2614 Å, 90.00 90.25 90.00°
Last column: nearest neighbours and their distance in Å.
Space group P2/m (No. 10)
Unique sites:
Co (0.0000, 0.0000, 0.0000) (multiplicity 1)  6 Se 2.38-2.39
Rh (0.0000, 0.5000, 0.5000) (multiplicity 1)  6 Se 2.49
Se (0.2428, 0.5000, 0.8457) (multiplicity 2)  2 Co 2.39, 1 Rh 2.49
Se (0.2550, 0.0000, 0.3188) (multiplicity 2)  1 Co 2.38, 2 Rh 2.49


The following is a DFT calculation (PBE-GGA) of a relaxed structure of Nd2Ga3Ni5.

## Properties
crystal system = orthorhombic
total energy = -5.216 eV per atom
calculated formation energy = -44.7 kJ/mol of atoms
N(E_F) = 32.7 states/eV/cell

Cell: 9.9426 11.6817 5.7277 Å, 90.00 90.00 90.00°
Last column: nearest neighbours and their distance in Å.
Space group Ibam (No. 72)
Unique sites:
Nd (0.2355, 0.1276, 0.0000) (multiplicity 8)  10 Ni 3.02-3.28, 7 Ga 3.15-3.38
Ga (0.0000, 0.5000, 0.2500) (multiplicity 4)  6 Ni 2.49-2.56
Ga (0.1034, 0.1389, 0.5000) (multiplicity 8)  5 Ni 2.40-2.42
Ni (0.0000, 0.0000, 0.2500) (multiplicity 4)  4 Ga 2.40
Ni (0.0000, 0.2813, 0.2500) (multiplicity 8)  3 Ga 2.42-2.56, 2 Ni 2.44
Ni (0.1551, 0.3864, 0.0000) (multiplicity 8)  3 Ga 2.42-2.49, 2 Ni 2.44


The following is a DFT calculation (PBE-GGA) of a relaxed structure of Tb2DyEr4.

## Properties
crystal system = monoclinic
total energy = -4.583 eV per atom
calculated formation energy = 0.4 kJ/mol of atoms
N(E_F) = 18.5 states/eV/cell

Cell: 6.1453 3.5479 19.8265 Å, 90.00 90.00 90.00°
Last column: nearest neighbours and their distance in Å.
Space group Cm (No. 8)
Unique sites:
Tb (0.0000, 0.0000, 0.0000) (multiplicity 2)  6 Er 3.50, 6 Tb 3.55
Tb (0.0007, 0.0000, 0.2854) (multiplicity 2)  6 Er 3.49-3.51, 6 Tb 3.55
Dy (0.9995, 0.0000, 0.7151) (multiplicity 2)  6 Er 3.48-3.50, 6 Dy 3.55
Er (0.1662, 0.5000, 0.8570) (multiplicity 2)  3 Dy 3.48, 3 Tb 3.50, 6 Er 3.55
Er (0.1667, 0.5000, 0.5717) (multiplicity 2)  9 Er 3.48-3.55, 3 Dy 3.50
Er (0.3338, 0.0000, 0.1429) (multiplicity 2)  6 Tb 3.49-3.50, 6 Er 3.55
Er (0.3338, 0.0000, 0.4295) (multiplicity 2)  9 Er 3.48-3.55, 3 Tb 3.51


The following is a DFT calculation (PBE-GGA) of a relaxed structure of LaZrPb3.

## Properties
crystal system = cubic
total energy = -4.866 eV per atom
calculated formation energy = 5.3 kJ/mol of atoms
N(E_F) = 6.3 states/eV/cell

Cell: 5.6035 5.6035 5.6035 Å, 90.00 90.00 90.00°
Last column: nearest neighbours and their distance in Å.
Space group Pm-3m (No. 221)
Unique sites:
La (0.0000, 0.0000, 0.0000) (multiplicity 1)  12 Pb 3.96
Zr (0.5000, 0.5000, 0.5000) (multiplicity 1)  6 Pb 2.80
Pb (0.0000, 0.5000, 0.5000) (multiplicity 3)  2 Zr 2.80


The following is a DFT calculation (PBE-GGA) of a relaxed structure of ScCoH2.

## Properties
crystal system = orthorhombic
total energy = -5.453 eV per atom

Cell: 5.5891 5.7366 4.5169 Å, 90.00 90.00 90.00°
Last column: nearest neighbours and their distance in Å.
Space group Pna2_1 (No. 33)
Unique sites:
Sc (0.1711, 0.1247, 0.0000) (multiplicity 4)  5 H 2.11-2.28
Co (0.0437, 0.6782, 0.9907) (multiplicity 4)  4 H 1.63-1.74
H (0.0186, 0.4279, 0.8163) (multiplicity 4)  2 Co 1.63-1.64
H (0.1525, 0.1092, 0.4968) (multiplicity 4)  2 Co 1.64-1.74


The following is a DFT calculation (PBE-GGA) of a relaxed structure of Hf2ZrBe2Rh5.

## Properties
crystal system = tetragonal
total energy = -8.142 eV per atom
calculated formation energy = -84.5 kJ/mol of atoms
N(E_F) = 6.9 states/eV/cell

Cell: 9.4215 9.4215 3.3449 Å, 90.00 90.00 90.00°
Last column: nearest neighbours and their distance in Å.
Space group P4/mbm (No. 127)
Unique sites:
Hf (0.1736, 0.3264, 0.0000) (multiplicity 4)  3 Be 2.75-2.81, 10 Rh 2.85-3.05
Zr (0.0000, 0.0000, 0.0000) (multiplicity 2)  8 Rh 2.72
Be (0.1199, 0.6199, 0.0000) (multiplicity 4)  6 Rh 2.31-2.32
Rh (0.0000, 0.5000, 0.5000) (multiplicity 2)  4 Be 2.31
Rh (0.0730, 0.7840, 0.5000) (multiplicity 8)  2 Be 2.32


The following is a DFT calculation (PBE-GGA) of a relaxed structure of AcTb2PmNd.

## Properties
crystal system = monoclinic
total energy = -4.535 eV per atom
calculated formation energy = 4.1 kJ/mol of atoms
N(E_F) = 16.7 states/eV/cell

Cell: 6.4628 5.9262 9.8704 Å, 90.00 108.86 90.00°
Last column: nearest neighbours and their distance in Å.
Space group P2_1/m (No. 11)
Unique sites:
Ac (0.0674, 0.2500, 0.3015) (multiplicity 2)  4 Pm 3.68-3.72, 3 Nd 3.69-3.72, 5 Tb 3.69-3.79
Tb (0.2780, 0.2500, 0.7067) (multiplicity 2)  3 Tb 3.63-3.64, 2 Nd 3.64-3.79, 4 Pm 3.67-3.84, 3 Ac 3.69-3.79
Tb (0.4649, 0.2500, 0.0958) (multiplicity 2)  5 Tb 3.62-3.64, 4 Nd 3.64-3.74, 1 Pm 3.75, 2 Ac 3.75-3.76
Pm (0.3364, 0.7500, 0.5025) (multiplicity 2)  2 Pm 3.65, 5 Tb 3.67-3.84, 4 Ac 3.68-3.72, 1 Nd 3.78
Nd (0.1378, 0.7500, 0.0973) (multiplicity 2)  6 Tb 3.64-3.79, 2 Nd 3.66, 3 Ac 3.69-3.72, 1 Pm 3.78


The following is a DFT calculation (PBE-GGA) of a relaxed structure of Ac2NdNi.

## Properties
crystal system = orthorhombic
total energy = -4.803 eV per atom
calculated formation energy = -10.8 kJ/mol of atoms
N(E_F) = 23.0 states/eV/cell

Cell: 3.9373 12.9247 10.4892 Å, 90.00 90.00 90.00°
Last column: nearest neighbours and their distance in Å.
Space group Cmcm (No. 63)
Unique sites:
Ac (0.0000, 0.1376, 0.0706) (multiplicity 8)  2 Ni 3.01
Nd (0.0000, 0.4001, 0.2500) (multiplicity 4)  2 Ni 2.88
Ni (0.0000, 0.2627, 0.7500) (multiplicity 4)  2 Nd 2.88, 4 Ac 3.01


The following is a DFT calculation (PBE-GGA) of a relaxed structure of Sm10Dy6Pu.

## Properties
crystal system = trigonal
total energy = -5.085 eV per atom
calculated formation energy = 15.2 kJ/mol of atoms
N(E_F) = 28.5 states/eV/cell

Cell: 9.7373 9.7373 6.8615 Å, 90.00 90.00 120.00°
Last column: nearest neighbours and their distance in Å.
Space group P-31m (No. 162)
Unique sites:
Sm (0.0000, 0.2677, 0.3105) (multiplicity 6)  5 Dy 3.36-3.64, 1 Pu 3.37, 2 Sm 3.68
Sm (0.3333, 0.6667, 0.0000) (multiplicity 2)  6 Dy 3.34, 2 Sm 3.43
Sm (0.3333, 0.6667, 0.5000) (multiplicity 2)  8 Sm 3.43-3.83, 6 Dy 3.70
Dy (0.0000, 0.3761, 0.8032) (multiplicity 6)  9 Sm 3.34-3.70, 1 Dy 3.62
Pu (0.0000, 0.0000, 0.0000) (multiplicity 1)  6 Sm 3.37


The following is a DFT calculation (PBE-GGA) of a relaxed structure of RbHfMg6O7.

## Properties
crystal system = tetragonal
total energy = -5.936 eV per atom
uncorrected formation energy = -33.85 eV per formula unit
N(E_F) = 3.7 states/eV/cell

Cell: 4.1002 4.1002 13.7436 Å, 90.00 90.00 90.00°
Last column: nearest neighbours and their distance in Å.
Space group P4mm (No. 99)
Unique sites:
Rb (0.0000, 0.0000, 0.0000) (multiplicity 1)  4 O 2.93
Hf (0.5000, 0.5000, 0.8332) (multiplicity 1)  1 O 1.88
Mg (0.0000, 0.0000, 0.4660) (multiplicity 1)  5 O 1.96-2.10
Mg (0.0000, 0.5000, 0.2843) (multiplicity 2)  1 O 2.03
Mg (0.0000, 0.5000, 0.6503) (multiplicity 2)  5 O 1.99-2.13
Mg (0.5000, 0.5000, 0.4709) (multiplicity 1)  5 O 2.03-2.12
O (0.0000, 0.0000, 0.6090) (multiplicity 1)  5 Mg 1.96-2.13
O (0.0000, 0.5000, 0.4324) (multiplicity 2)  5 Mg 2.03-2.12
O (0.0000, 0.5000, 0.7951) (multiplicity 2)  1 Mg 1.99, 2 Hf 2.12
O (0.5000, 0.5000, 0.6183) (multiplicity 1)  5 Mg 2.03-2.10
O (0.5000, 0.5000, 0.9703) (multiplicity 1)  1 Hf 1.88


The following is a DFT calculation (PBE-GGA) of a relaxed structure of LiTaOs2.

## Properties
crystal system = orthorhombic
total energy = -8.806 eV per atom
calculated formation energy = 24.2 kJ/mol of atoms
N(E_F) = 4.0 states/eV/cell

Cell: 3.1212 4.2239 4.4525 Å, 90.00 90.00 90.00°
Last column: nearest neighbours and their distance in Å.
Space group Pmmm (No. 47)
Unique sites:
Li (0.0000, 0.0000, 0.0000) (multiplicity 1)  4 Os 2.63, 4 Ta 2.72
Ta (0.5000, 0.0000, 0.5000) (multiplicity 1)  4 Os 2.63, 4 Li 2.72
Os (0.0000, 0.5000, 0.5000) (multiplicity 1)  4 Ta 2.63, 4 Os 2.72
Os (0.5000, 0.5000, 0.0000) (multiplicity 1)  4 Li 2.63, 4 Os 2.72


The following is a DFT calculation (PBE-GGA) of a relaxed structure of TlTc2Te.

## Properties
crystal system = tetragonal
total energy = -5.941 eV per atom
uncorrected formation energy = 2.47 eV per formula unit
N(E_F) = 4.4 states/eV/cell

Cell: 4.6744 4.6744 3.3062 Å, 90.00 90.00 90.00°
Last column: nearest neighbours and their distance in Å.
Space group P4/mmm (No. 123)
Unique sites:
Tl (0.0000, 0.0000, 0.0000) (multiplicity 1)  8 Tc 2.86
Tc (0.0000, 0.5000, 0.5000) (multiplicity 2)  4 Tl 2.86, 4 Te 2.86
Te (0.5000, 0.5000, 0.0000) (multiplicity 1)  8 Tc 2.86


The following is a DFT calculation (PBE-GGA) of a relaxed structure of Tc2MoW.

## Properties
crystal system = tetragonal
total energy = -10.941 eV per atom
calculated formation energy = 18.1 kJ/mol of atoms
N(E_F) = 3.4 states/eV/cell

Cell: 2.8035 2.8035 7.8262 Å, 90.00 90.00 90.00°
Last column: nearest neighbours and their distance in Å.
Space group P4/mmm (No. 123)
Unique sites:
Tc (0.0000, 0.0000, 0.2491) (multiplicity 2)  4 Mo 2.78, 4 W 2.79, 4 Tc 2.80
Mo (0.5000, 0.5000, 0.0000) (multiplicity 1)  8 Tc 2.78, 4 Mo 2.80
W (0.5000, 0.5000, 0.5000) (multiplicity 1)  8 Tc 2.79, 4 W 2.80


The following is a DFT calculation (PBE-GGA) of a relaxed structure of Na3TiMn3S8.

## Properties
crystal system = trigonal
total energy = -5.732 eV per atom
uncorrected formation energy = -13.61 eV per formula unit
N(E_F) = 15.7 states/eV/cell

Cell: 7.0963 7.0963 20.1567 Å, 90.00 90.00 120.00°
Last column: nearest neighbours and their distance in Å.
Space group R-3m (No. 166, hexagonal axes)
Unique sites:
Na (0.0000, 0.5000, 0.0000) (multiplicity 9)  6 S 2.85-2.89
Ti (0.0000, 0.0000, 0.5000) (multiplicity 3)  6 S 2.46
Mn (0.0000, 0.5000, 0.5000) (multiplicity 9)  6 S 2.44-2.47
S (0.0000, 0.0000, 0.2353) (multiplicity 6)  3 Mn 2.47
S (0.0028, 0.5014, 0.7673) (multiplicity 18)  2 Mn 2.44, 1 Ti 2.46